[1]
CeTmN2 | PBE | relaxed

Properties
ρ	9.142	g/cm³
formation energy without anion corrections	-1.2735	eV per atom
total magnetic moment	0.191	μB/atom
electronic total energy	-32.15	eV/f.u.
V	61.2	Å³ per cell
N(E_F)	3.08	states/eV/cell

```
CeTmN2
1.0
3.422 0.000 0.000
-1.711 2.963 0.000
0.000 0.000 6.039
Ce Tm N
1 1 2
direct
0.000 0.000 0.000 Ce
0.000 0.000 0.500 Tm
0.333 0.667 0.739 N
0.667 0.333 0.261 N
```

[2]
CeTmN2 | PBE | relaxed

Properties
ρ	9.323	g/cm³
formation energy without anion corrections	-1.4370	eV per atom
total magnetic moment	0.197	μB/atom
electronic total energy	-32.80	eV/f.u.
V	180.1	Å³ per cell
N(E_F)	8.79	states/eV/cell

```
CeTmN2
1.0
3.408 0.000 0.000
-1.704 2.951 0.000
0.000 0.000 17.905
Ce Tm N
3 3 6
direct
0.000 0.000 0.000 Ce
0.333 0.667 0.667 Ce
0.667 0.333 0.333 Ce
0.000 0.000 0.828 Tm
0.333 0.667 0.495 Tm
0.667 0.333 0.162 Tm
0.000 0.000 0.245 N
0.000 0.000 0.421 N
0.333 0.667 0.088 N
0.333 0.667 0.912 N
0.667 0.333 0.579 N
0.667 0.333 0.754 N
```

[3]
Ce4TmN5 | PBE | relaxed

Properties
ρ	8.477	g/cm³
formation energy without anion corrections	-1.5411	eV per atom
total magnetic moment	0.126	μB/atom
electronic total energy	-85.25	eV/f.u.
V	156.6	Å³ per cell
N(E_F)	10.18	states/eV/cell

```
Ce4TmN5
1.0
-3.956 3.956 2.502
3.956 -3.956 2.502
3.956 3.956 -2.502
Ce Tm N
4 1 5
direct
0.100 0.299 0.399 Ce
0.299 0.900 0.199 Ce
0.701 0.100 0.801 Ce
0.900 0.701 0.601 Ce
0.500 0.500 0.000 Tm
0.000 0.000 0.000 N
0.207 0.599 0.806 N
0.401 0.207 0.607 N
0.599 0.793 0.393 N
0.793 0.401 0.194 N
```

[4]
CeTm3N | PBE | relaxed

Properties
ρ	9.422	g/cm³
formation energy without anion corrections	-0.4403	eV per atom
total magnetic moment	0.408	μB/atom
electronic total energy	-29.88	eV/f.u.
V	116.5	Å³ per cell
N(E_F)	9.72	states/eV/cell

```
CeTm3N
1.0
4.884 0.000 0.000
0.000 4.884 0.000
0.000 0.000 4.884
Ce Tm N
1 3 1
direct
0.000 0.000 0.000 Ce
0.000 0.500 0.500 Tm
0.500 0.000 0.500 Tm
0.500 0.500 0.000 Tm
0.500 0.500 0.500 N
```

[5]
CeTm2N3 | PBE | relaxed

Properties
ρ	9.851	g/cm³
formation energy without anion corrections	-1.6928	eV per atom
total magnetic moment	0.021	μB/atom
electronic total energy	-50.01	eV/f.u.
V	350.6	Å³ per cell
N(E_F)	10.97	states/eV/cell

```
CeTm2N3
1.0
0.000 4.887 10.368
3.460 0.000 10.368
3.460 4.887 0.000
Ce Tm N
4 8 12
direct
0.042 0.042 0.208 Ce
0.208 0.208 0.042 Ce
0.792 0.792 0.958 Ce
0.958 0.958 0.792 Ce
0.126 0.126 0.624 Tm
0.292 0.292 0.458 Tm
0.376 0.376 0.874 Tm
0.458 0.458 0.292 Tm
0.542 0.542 0.708 Tm
0.624 0.624 0.126 Tm
0.708 0.708 0.542 Tm
0.874 0.874 0.376 Tm
0.041 0.543 0.212 N
0.130 0.620 0.620 N
0.212 0.704 0.041 N
0.296 0.788 0.457 N
0.380 0.870 0.870 N
0.457 0.959 0.296 N
0.543 0.041 0.704 N
0.620 0.130 0.130 N
0.704 0.212 0.543 N
0.788 0.296 0.959 N
0.870 0.380 0.380 N
0.959 0.457 0.788 N
```

[6]
Ce5TmN6 | PBE | relaxed

Properties
ρ	8.402	g/cm³
formation energy without anion corrections	-1.5359	eV per atom
total magnetic moment	0.086	μB/atom
electronic total energy	-102.52	eV/f.u.
V	188.5	Å³ per cell
N(E_F)	12.54	states/eV/cell

```
Ce5TmN6
1.0
3.067 -5.311 0.000
3.067 5.311 0.000
-2.041 0.000 5.784
Ce Tm N
5 1 6
direct
0.000 0.000 0.000 Ce
0.167 0.833 0.500 Ce
0.334 0.666 0.000 Ce
0.666 0.334 0.000 Ce
0.833 0.167 0.500 Ce
0.500 0.500 0.500 Tm
0.092 0.419 0.256 N
0.256 0.256 0.747 N
0.419 0.092 0.256 N
0.581 0.908 0.744 N
0.744 0.744 0.253 N
0.908 0.581 0.744 N
```

[7]
Ce4Tm2N | PBE | relaxed

Properties
ρ	7.676	g/cm³
formation energy without anion corrections	-0.1623	eV per atom
total magnetic moment	0.231	μB/atom
electronic total energy	-42.14	eV/f.u.
V	394.7	Å³ per cell
N(E_F)	35.61	states/eV/cell

```
Ce4Tm2N
1.0
4.886 0.000 0.000
0.000 4.886 0.000
0.000 0.000 16.537
Ce Tm N
8 4 2
direct
0.000 0.000 0.141 Ce
0.000 0.000 0.859 Ce
0.000 0.500 0.000 Ce
0.000 0.500 0.500 Ce
0.500 0.000 0.000 Ce
0.500 0.000 0.500 Ce
0.500 0.500 0.359 Ce
0.500 0.500 0.641 Ce
0.000 0.000 0.348 Tm
0.000 0.000 0.652 Tm
0.500 0.500 0.152 Tm
0.500 0.500 0.848 Tm
0.000 0.000 0.000 N
0.500 0.500 0.500 N
```

[8]
CeTm2UN4 | PBE | relaxed

Properties
ρ	11.048	g/cm³
formation energy without anion corrections	-1.5870	eV per atom
total magnetic moment	0.135	μB/atom
electronic total energy	-72.16	eV/f.u.
V	116.0	Å³ per cell
N(E_F)	6.85	states/eV/cell

```
CeTm2UN4
1.0
5.970 0.000 0.000
0.000 3.437 0.000
-1.952 0.000 5.655
Ce Tm U N
1 2 1 4
direct
0.000 0.000 0.000 Ce
0.000 0.500 0.500 Tm
0.500 0.000 0.500 Tm
0.500 0.500 0.000 U
0.261 0.000 0.750 N
0.268 0.500 0.251 N
0.732 0.500 0.749 N
0.739 0.000 0.250 N
```

[9]
Ce2TmUN4 | PBE | relaxed

Properties
ρ	10.300	g/cm³
formation energy without anion corrections	-1.5486	eV per atom
total magnetic moment	0.094	μB/atom
electronic total energy	-73.32	eV/f.u.
V	119.8	Å³ per cell
N(E_F)	8.75	states/eV/cell

```
Ce2TmUN4
1.0
5.960 0.000 0.000
0.000 3.483 0.000
-1.983 0.000 5.772
Ce Tm U N
2 1 1 4
direct
0.000 0.000 0.000 Ce
0.500 0.500 0.000 Ce
0.000 0.500 0.500 Tm
0.500 0.000 0.500 U
0.257 0.000 0.723 N
0.268 0.500 0.281 N
0.732 0.500 0.719 N
0.743 0.000 0.277 N
```

[10]
Ce3Tm2UN6 | PBE | relaxed

Properties
ρ	10.008	g/cm³
formation energy without anion corrections	-1.5901	eV per atom
total magnetic moment	0.000	μB/atom
electronic total energy	-107.07	eV/f.u.
V	179.2	Å³ per cell
N(E_F)	10.78	states/eV/cell

```
Ce3Tm2UN6
1.0
2.991 -5.178 0.000
2.991 5.178 0.000
-1.993 0.000 5.787
Ce Tm U N
3 2 1 6
direct
0.000 0.000 0.000 Ce
0.332 0.668 0.000 Ce
0.668 0.332 0.000 Ce
0.166 0.834 0.500 Tm
0.834 0.166 0.500 Tm
0.500 0.500 0.500 U
0.108 0.425 0.276 N
0.258 0.258 0.726 N
0.425 0.108 0.276 N
0.575 0.892 0.724 N
0.742 0.742 0.274 N
0.892 0.575 0.724 N
```

[11]
CeTmVN3 | PBE | relaxed

Properties
ρ	7.318	g/cm³
formation energy without anion corrections	-1.2699	eV per atom
total magnetic moment	0.124	μB/atom
electronic total energy	-52.12	eV/f.u.
V	182.4	Å³ per cell
N(E_F)	11.40	states/eV/cell

```
CeTmVN3
1.0
7.231 0.000 0.000
0.000 3.399 0.000
-1.177 0.000 7.423
Ce Tm V N
2 2 2 6
direct
0.175 0.250 0.176 Ce
0.825 0.750 0.824 Ce
0.363 0.750 0.837 Tm
0.637 0.250 0.163 Tm
0.091 0.250 0.600 V
0.909 0.750 0.400 V
0.123 0.250 0.852 N
0.173 0.750 0.517 N
0.401 0.750 0.145 N
0.599 0.250 0.855 N
0.827 0.250 0.483 N
0.877 0.750 0.148 N
```

[12]
Ce2TmWN5 | PBE | relaxed

Properties
ρ	9.100	g/cm³
formation energy without anion corrections	-0.9440	eV per atom
total magnetic moment	0.000	μB/atom
electronic total energy	-79.42	eV/f.u.
V	256.6	Å³ per cell

```
Ce2TmWN5
1.0
6.618 0.000 0.000
0.000 6.618 0.000
0.000 0.000 5.858
Ce Tm W N
4 2 2 10
direct
0.169 0.331 0.000 Ce
0.331 0.831 0.000 Ce
0.669 0.169 0.000 Ce
0.831 0.669 0.000 Ce
0.000 0.000 0.500 Tm
0.500 0.500 0.500 Tm
0.000 0.500 0.500 W
0.500 0.000 0.500 W
0.000 0.000 0.000 N
0.149 0.649 0.266 N
0.149 0.649 0.734 N
0.351 0.149 0.266 N
0.351 0.149 0.734 N
0.500 0.500 0.000 N
0.649 0.851 0.266 N
0.649 0.851 0.734 N
0.851 0.351 0.266 N
0.851 0.351 0.734 N
```

Q: Look up the formation energy without anion corrections of the fourth one.
A: -0.4403 eV per atom

Q: The lowest ρ belongs to which entry?
A: CeTmVN3

Q: Among the records above, which one has the lowest ρ?
A: CeTmVN3

Q: Number 5 is which compound?
A: CeTm2N3